First-principles (PBE-GGA) data for a geometry-optimized CrAgMo2 structure, as listed in Alexandria.

Results
DFT formation energy (eV per atom): 0.47
Energy above the most stable polymorph in this dataset (eV per atom): 0.176
Spin magnetization (μB per formula unit): 0.0
V (Å³ per cell): 62.6

Unit cell a=3.027 b=3.518 c=5.879 alpha=90.00 beta=90.00 gamma=90.00
Space group Pmmm (No. 47)
Symmetry-distinct sites (fractional):
1 Cr 0.000 0.000 0.000 (multiplicity 1)
2 Ag 0.000 0.000 0.500 (multiplicity 1)
3 Mo 0.500 0.500 0.206 (multiplicity 2)



First-principles (PBE-GGA) data for a geometry-optimized CrAgMo2 structure, as listed in Alexandria.

Results
DFT formation energy (eV per atom): 0.48
Energy above the most stable polymorph in this dataset (eV per atom): 0.183
Spin magnetization (μB per formula unit): 0.0
V (Å³ per cell): 122.1

Unit cell a=3.202 b=4.389 c=8.688 alpha=90.00 beta=90.00 gamma=90.00
Space group Immm (No. 71)
Symmetry-distinct sites (fractional):
1 Cr 0.000 0.000 0.000 (multiplicity 2)
2 Ag 0.000 0.000 0.500 (multiplicity 2)
3 Mo 0.000 0.500 0.273 (multiplicity 4)



First-principles (PBE-GGA) data for a geometry-optimized CrAgMo2 structure, as listed in Alexandria.

Results
DFT formation energy (eV per atom): 0.33
Energy above the most stable polymorph in this dataset (eV per atom): 0.035
Spin magnetization (μB per formula unit): 0.0
V (Å³ per cell): 123.0

Unit cell a=3.152 b=4.350 c=8.972 alpha=90.00 beta=90.00 gamma=90.00
Space group Cmm2 (No. 35)
Symmetry-distinct sites (fractional):
1 Cr 0.000 0.000 0.000 (multiplicity 2)
2 Ag 0.000 0.500 0.254 (multiplicity 2)
3 Mo 0.000 0.000 0.526 (multiplicity 2)
4 Mo 0.000 0.500 0.777 (multiplicity 2)



First-principles (PBE-GGA) data for a geometry-optimized CrAgMo2 structure, as listed in Alexandria.

Results
DFT formation energy (eV per atom): 0.91
Energy above the most stable polymorph in this dataset (eV per atom): 0.616
Spin magnetization (μB per formula unit): 2.7
V (Å³ per cell): 272.7

Unit cell a=3.746 b=3.746 c=19.434 alpha=90.00 beta=90.00 gamma=90.00
Space group I-42d (No. 122)
Symmetry-distinct sites (fractional):
1 Cr 0.000 0.000 0.000 (multiplicity 4)
2 Ag 0.000 0.000 0.500 (multiplicity 4)
3 Mo 0.230 0.250 0.125 (multiplicity 8)



First-principles (PBE-GGA) data for a geometry-optimized CrAgMo2 structure, as listed in Alexandria.

Results
DFT formation energy (eV per atom): 0.53
Energy above the most stable polymorph in this dataset (eV per atom): 0.231
Spin magnetization (μB per formula unit): 2.0
V (Å³ per cell): 189.0

Unit cell a=2.7737 b=2.7737 c=28.3733 alpha=90.00 beta=90.00 gamma=120.00
Space group R3m (No. 160, hexagonal axes)
Symmetry-distinct sites (fractional):
1 Cr 0.0000 0.0000 0.0000 (multiplicity 3)
2 Ag 0.0000 0.0000 0.2501 (multiplicity 3)
3 Mo 0.0000 0.0000 0.4947 (multiplicity 3)
4 Mo 0.0000 0.0000 0.7428 (multiplicity 3)



First-principles (PBE-GGA) data for a geometry-optimized CrAgMo2 structure, as listed in Alexandria.

Results
DFT formation energy (eV per atom): 0.42
Energy above the most stable polymorph in this dataset (eV per atom): 0.124
Spin magnetization (μB per formula unit): 0.0
V (Å³ per cell): 61.6

Unit cell a=2.689 b=4.161 c=5.580 alpha=90.00 beta=99.65 gamma=90.00
Space group P2/m (No. 10)
Symmetry-distinct sites (fractional):
1 Cr 0.000 0.000 0.000 (multiplicity 1)
2 Ag 0.000 0.000 0.500 (multiplicity 1)
3 Mo 0.437 0.500 0.220 (multiplicity 2)



First-principles (PBE-GGA) data for a geometry-optimized CrAgMo2 structure, as listed in Alexandria.

Results
DFT formation energy (eV per atom): 0.40
Energy above the most stable polymorph in this dataset (eV per atom): 0.101
Spin magnetization (μB per formula unit): 0.0
V (Å³ per cell): 62.1

Unit cell a=2.869 b=2.869 c=7.546 alpha=90.00 beta=90.00 gamma=90.00
Space group P4/mmm (No. 123)
Symmetry-distinct sites (fractional):
1 Cr 0.000 0.000 0.000 (multiplicity 1)
2 Ag 0.000 0.000 0.500 (multiplicity 1)
3 Mo 0.500 0.500 0.206 (multiplicity 2)



First-principles (PBE-GGA) data for a geometry-optimized Cr4AgMo structure, as listed in Alexandria.

Results
DFT formation energy (eV per atom): 0.29
Spin magnetization (μB per formula unit): 0.0
V (Å³ per cell): 318.4

Unit cell a=6.828 b=6.828 c=6.828 alpha=90.00 beta=90.00 gamma=90.00
Space group F-43m (No. 216)
Symmetry-distinct sites (fractional):
1 Cr 0.125 0.125 0.125 (multiplicity 16)
2 Ag 0.250 0.250 0.750 (multiplicity 4)
3 Mo 0.000 0.000 0.500 (multiplicity 4)



First-principles (PBE-GGA) data for a geometry-optimized CrAgMo2 structure, as listed in Alexandria.

Results
DFT formation energy (eV per atom): 0.55
Energy above the most stable polymorph in this dataset (eV per atom): 0.255
Spin magnetization (μB per formula unit): 1.2
V (Å³ per cell): 122.5

Unit cell a=3.873 b=3.873 c=8.167 alpha=90.00 beta=90.00 gamma=90.00
Space group I4/mmm (No. 139)
Symmetry-distinct sites (fractional):
1 Cr 0.000 0.000 0.000 (multiplicity 2)
2 Ag 0.000 0.000 0.500 (multiplicity 2)
3 Mo 0.000 0.500 0.250 (multiplicity 4)



First-principles (PBE-GGA) data for a geometry-optimized CrAg3Mo structure, as listed in Alexandria.

Results
DFT formation energy (eV per atom): 2.26
Energy above the most stable polymorph in this dataset (eV per atom): 0.451
Spin magnetization (μB per formula unit): 1.5
V (Å³ per cell): 123.6

Unit cell a=4.981 b=4.981 c=4.981 alpha=90.00 beta=90.00 gamma=90.00
Space group Pm-3m (No. 221)
Symmetry-distinct sites (fractional):
1 Cr 0.000 0.000 0.000 (multiplicity 1)
2 Ag 0.000 0.500 0.500 (multiplicity 3)
3 Mo 0.500 0.500 0.500 (multiplicity 1)



First-principles (PBE-GGA) data for a geometry-optimized CrAgMo2 structure, as listed in Alexandria.

Results
DFT formation energy (eV per atom): 0.50
Energy above the most stable polymorph in this dataset (eV per atom): 0.202
Spin magnetization (μB per formula unit): 0.2
V (Å³ per cell): 122.1

Unit cell a=5.437 b=8.889 c=2.621 alpha=90.00 beta=105.46 gamma=90.00
Space group C2/m (No. 12)
Symmetry-distinct sites (fractional):
1 Cr 0.000 0.000 0.000 (multiplicity 2)
2 Ag 0.000 0.500 0.000 (multiplicity 2)
3 Mo 0.250 0.250 0.500 (multiplicity 4)



First-principles (PBE-GGA) data for a geometry-optimized CrAgMo2 structure, as listed in Alexandria.

Results
DFT formation energy (eV per atom): 0.68
Energy above the most stable polymorph in this dataset (eV per atom): 0.380
Spin magnetization (μB per formula unit): 0.0
V (Å³ per cell): 245.1

Unit cell a=6.258 b=6.258 c=6.258 alpha=90.00 beta=90.00 gamma=90.00
Space group Fm-3m (No. 225)
Symmetry-distinct sites (fractional):
1 Cr 0.000 0.000 0.000 (multiplicity 4)
2 Ag 0.000 0.000 0.500 (multiplicity 4)
3 Mo 0.250 0.250 0.250 (multiplicity 8)



First-principles (PBE-GGA) data for a geometry-optimized CrAgMo2 structure, as listed in Alexandria.

Results
DFT formation energy (eV per atom): 0.49
Energy above the most stable polymorph in this dataset (eV per atom): 0.199
Spin magnetization (μB per formula unit): 1.3
V (Å³ per cell): 186.1

Unit cell a=2.7441 b=2.7441 c=28.5327 alpha=90.00 beta=90.00 gamma=120.00
Space group R-3m (No. 166, hexagonal axes)
Symmetry-distinct sites (fractional):
1 Cr 0.0000 0.0000 0.0000 (multiplicity 3)
2 Ag 0.0000 0.0000 0.5000 (multiplicity 3)
3 Mo 0.0000 0.0000 0.2562 (multiplicity 6)



First-principles (PBE-GGA) data for a geometry-optimized Cr3AgMo structure, as listed in Alexandria.

Results
DFT formation energy (eV per atom): 1.40
Energy above the most stable polymorph in this dataset (eV per atom): 0.000
Spin magnetization (μB per formula unit): 8.8
V (Å³ per cell): 102.3

Unit cell a=4.678 b=4.678 c=4.678 alpha=90.00 beta=90.00 gamma=90.00
Space group Pm-3m (No. 221)
Symmetry-distinct sites (fractional):
1 Cr 0.000 0.000 0.500 (multiplicity 3)
2 Ag 0.500 0.500 0.500 (multiplicity 1)
3 Mo 0.000 0.000 0.000 (multiplicity 1)



First-principles (PBE-GGA) data for a geometry-optimized CrAgMo2 structure, as listed in Alexandria.

Results
DFT formation energy (eV per atom): 0.30
Energy above the most stable polymorph in this dataset (eV per atom): 0.000
Spin magnetization (μB per formula unit): 0.0
V (Å³ per cell): 122.2

Unit cell a=3.137 b=4.341 c=8.975 alpha=90.00 beta=90.00 gamma=90.00
Space group Cmmm (No. 65)
Symmetry-distinct sites (fractional):
1 Cr 0.000 0.000 0.000 (multiplicity 2)
2 Ag 0.000 0.000 0.500 (multiplicity 2)
3 Mo 0.000 0.500 0.227 (multiplicity 4)



First-principles (PBE-GGA) data for a geometry-optimized CrAgMo2 structure, as listed in Alexandria.

Results
DFT formation energy (eV per atom): 0.52
Energy above the most stable polymorph in this dataset (eV per atom): 0.222
Spin magnetization (μB per formula unit): 0.0
V (Å³ per cell): 122.6

Unit cell a=3.231 b=4.420 c=8.583 alpha=90.00 beta=90.00 gamma=90.00
Space group Imm2 (No. 44)
Symmetry-distinct sites (fractional):
1 Cr 0.000 0.000 0.000 (multiplicity 2)
2 Ag 0.000 0.500 0.241 (multiplicity 2)
3 Mo 0.000 0.000 0.466 (multiplicity 2)
4 Mo 0.000 0.500 0.717 (multiplicity 2)



First-principles (PBE-GGA) data for a geometry-optimized CrAgMo2 structure, as listed in Alexandria.

Results
DFT formation energy (eV per atom): 0.45
Energy above the most stable polymorph in this dataset (eV per atom): 0.150
Spin magnetization (μB per formula unit): 0.0
V (Å³ per cell): 62.0

Unit cell a=2.666 b=4.408 c=5.369 alpha=90.00 beta=100.76 gamma=90.00
Space group Pm (No. 6)
Symmetry-distinct sites (fractional):
1 Cr 0.000 0.000 0.000 (multiplicity 1)
2 Ag 0.105 0.500 0.710 (multiplicity 1)
3 Mo 0.460 0.000 0.439 (multiplicity 1)
4 Mo 0.732 0.500 0.190 (multiplicity 1)



First-principles (PBE-GGA) data for a geometry-optimized CrAgN structure, as listed in Alexandria.

Results
Formation energy (no corrections) (kcal/mol of atoms): 1.65
Energy above the most stable polymorph in this dataset (eV per atom): 0.147
Spin magnetization (μB per formula unit): 0.0
V (Å³ per cell): 85.3

Unit cell a=3.614 b=3.614 c=6.529 alpha=90.00 beta=90.00 gamma=90.00
Space group P4/nmm (No. 129, origin choice 2)
Symmetry-distinct sites (fractional):
1 Cr 0.250 0.750 0.000 (multiplicity 2)
2 Ag 0.250 0.250 0.398 (multiplicity 2)
3 N 0.250 0.250 0.915 (multiplicity 2)



First-principles (PBE-GGA) data for a geometry-optimized CrAgN3 structure, as listed in Alexandria.

Results
Formation energy (no corrections) (kcal/mol of atoms): 63.75
Spin magnetization (μB per formula unit): 0.2
V (Å³ per cell): 60.1

Unit cell a=3.916 b=3.916 c=3.916 alpha=90.00 beta=90.00 gamma=90.00
Space group Pm-3m (No. 221)
Symmetry-distinct sites (fractional):
1 Cr 0.000 0.000 0.000 (multiplicity 1)
2 Ag 0.500 0.500 0.500 (multiplicity 1)
3 N 0.000 0.500 0.500 (multiplicity 3)



First-principles (PBE-GGA) data for a geometry-optimized Cr3AgN structure, as listed in Alexandria.

Results
Formation energy (no corrections) (kcal/mol of atoms): 56.06
Spin magnetization (μB per formula unit): 11.8
V (Å³ per cell): 126.5

Unit cell a=5.020 b=5.020 c=5.020 alpha=90.00 beta=90.00 gamma=90.00
Space group Pm-3m (No. 221)
Symmetry-distinct sites (fractional):
1 Cr 0.000 0.000 0.500 (multiplicity 3)
2 Ag 0.000 0.000 0.000 (multiplicity 1)
3 N 0.500 0.500 0.500 (multiplicity 1)



First-principles (PBE-GGA) data for a geometry-optimized CrAg3N structure, as listed in Alexandria.

Results
Formation energy (no corrections) (kcal/mol of atoms): 19.82
Energy above the most stable polymorph in this dataset (eV per atom): 0.000
Spin magnetization (μB per formula unit): 4.9
V (Å³ per cell): 85.0

Unit cell a=4.396 b=4.396 c=4.396 alpha=90.00 beta=90.00 gamma=90.00
Space group Pm-3m (No. 221)
Symmetry-distinct sites (fractional):
1 Cr 0.000 0.000 0.000 (multiplicity 1)
2 Ag 0.000 0.500 0.500 (multiplicity 3)
3 N 0.500 0.500 0.500 (multiplicity 1)



First-principles (PBE-GGA) data for a geometry-optimized CrAg3N structure, as listed in Alexandria.

Results
Formation energy (no corrections) (kcal/mol of atoms): 51.06
Energy above the most stable polymorph in this dataset (eV per atom): 1.355
Spin magnetization (μB per formula unit): 4.8
V (Å³ per cell): 121.7

Unit cell a=4.956 b=4.956 c=4.956 alpha=90.00 beta=90.00 gamma=90.00
Space group Pm-3m (No. 221)
Symmetry-distinct sites (fractional):
1 Cr 0.000 0.000 0.000 (multiplicity 1)
2 Ag 0.000 0.000 0.500 (multiplicity 3)
3 N 0.500 0.500 0.500 (multiplicity 1)



First-principles (PBE-GGA) data for a geometry-optimized CrAgN3 structure, as listed in Alexandria.

Results
Formation energy (no corrections) (kcal/mol of atoms): 22.39
Spin magnetization (μB per formula unit): 1.6
V (Å³ per cell): 53.2

Unit cell a=3.761 b=3.761 c=3.761 alpha=90.00 beta=90.00 gamma=90.00
Space group Pm-3m (No. 221)
Symmetry-distinct sites (fractional):
1 Cr 0.000 0.000 0.000 (multiplicity 1)
2 Ag 0.500 0.500 0.500 (multiplicity 1)
3 N 0.000 0.000 0.500 (multiplicity 3)



First-principles (PBE-GGA) data for a geometry-optimized CrAgN structure, as listed in Alexandria.

Results
Formation energy (no corrections) (kcal/mol of atoms): -1.73
Energy above the most stable polymorph in this dataset (eV per atom): 0.000
Spin magnetization (μB per formula unit): 0.5
V (Å³ per cell): 77.5

Unit cell a=2.783 b=2.783 c=10.004 alpha=90.00 beta=90.00 gamma=90.00
Space group P4/nmm (No. 129, origin choice 2)
Symmetry-distinct sites (fractional):
1 Cr 0.250 0.250 0.089 (multiplicity 2)
2 Ag 0.250 0.250 0.388 (multiplicity 2)
3 N 0.250 0.250 0.892 (multiplicity 2)